*1*
DFT (meta-GGA SCAN) results for CaCuW2 at its PBEsol-relaxed geometry.

Properties
Space group   P4/mmm (123)

Lattice parameters (Å, degrees): 3.223 3.223 7.028 90.00 90.00 90.00
Fractional positions:
1 Ca 0.500 0.500 0.000
2 Cu 0.500 0.500 0.500
3 W 0.000 0.000 0.670
4 W 0.000 0.000 0.330

=====

*2*
DFT (meta-GGA SCAN) results for CaCuW2 at its PBEsol-relaxed geometry.

Properties
Space group   Cmmm (65)

Lattice parameters (Å, degrees): 2.681 2.681 9.174 90.00 90.00 83.50
Fractional positions:
1 Ca 0.500 0.500 0.500
2 Cu 0.500 0.500 0.000
3 W 0.000 0.000 0.213
4 W 0.000 0.000 0.787

=====

Result of the stability comparison: *1* is the least stable of them.

=====

*1*
DFT (meta-GGA SCAN) results for CaY2Cu at its PBEsol-relaxed geometry.

Properties
Space group   P4mm (99)

Lattice parameters (Å, degrees): 3.452 3.452 9.028 90.00 90.00 90.03
Fractional positions:
1 Y 0.000 0.000 0.057
2 Y 0.500 0.500 0.773
3 Ca 0.000 0.000 0.441
4 Cu 0.500 0.500 0.229

=====

*2*
DFT (meta-GGA SCAN) results for CaY2Cu at its PBEsol-relaxed geometry.

Properties
Space group   I4/mmm (139)

Lattice parameters (Å, degrees): 4.526 4.526 6.007 112.13 112.13 90.00
Fractional positions:
1 Ca 0.000 0.000 0.000
2 Cu 0.500 0.500 0.000
3 Y 0.750 0.250 0.500
4 Y 0.250 0.750 0.500

=====

Result of the stability comparison: *2* is the least stable of them.